1.
The following is a PBE calculation of crystalline Na5Sr6Ag at its relaxed geometry, from Alexandria.

Calculated values
- Calculated total energy: -1.64 eV/atom
- Formation enthalpy at 0 K: -1.1 kJ/mol of atoms

extended XYZ file:
```
12
Lattice="9.587 -4.565 0.000 9.587 4.565 0.000 -1.933 0.000 5.811" Properties=species:S:1:pos:R:3 pbc="T T T"
Na 0.000 0.000 0.000
Na 1.851 0.000 3.854
Na 5.421 0.000 1.827
Na 11.820 0.000 3.984
Na 15.389 0.000 1.957
Sr 4.996 2.101 4.915
Sr 8.620 1.980 2.905
Sr 12.245 2.101 0.896
Sr 4.996 -2.101 4.915
Sr 8.620 -1.980 2.905
Sr 12.245 -2.101 0.896
Ag 9.587 0.000 0.000
```

2.
The following is a PBE calculation of crystalline Na2Sr2Ag at its relaxed geometry, from Alexandria.

Calculated values
- Calculated total energy: -1.75 eV/atom
- E above lowest polymorph: 13.2 meV/atom
- Formation enthalpy at 0 K: 2.4 kJ/mol of atoms

extended XYZ file:
```
5
Lattice="-2.820 2.944 5.590 2.820 -2.944 5.590 2.820 2.944 -5.590" Properties=species:S:1:pos:R:3 pbc="T T T"
Na 0.000 1.443 0.000
Na 0.000 4.445 0.000
Sr 0.000 0.000 3.516
Sr 0.000 0.000 7.665
Ag 2.820 0.000 0.000
```

3.
The following is a PBE calculation of crystalline NaSr8Ag2 at its relaxed geometry, from Alexandria.

Calculated values
- Calculated total energy: -1.94 eV/atom
- Formation enthalpy at 0 K: -8.1 kJ/mol of atoms

extended XYZ file:
```
11
Lattice="5.134 -7.644 0.000 5.134 7.644 0.000 -1.627 0.000 6.324" Properties=species:S:1:pos:R:3 pbc="T T T"
Na 0.000 0.000 0.000
Sr 1.119 2.013 3.708
Sr 3.517 3.848 6.316
Sr 1.119 -2.013 3.708
Sr 3.670 0.000 1.267
Sr 4.984 0.000 5.039
Sr 7.539 2.014 2.601
Sr 3.517 -3.848 6.316
Sr 7.539 -2.014 2.601
Ag 4.329 2.874 3.153
Ag 4.329 -2.874 3.153
```

4.
The following is a PBE calculation of crystalline NaSrAg at its relaxed geometry, from Alexandria.

Calculated values
- Calculated total energy: -2.02 eV/atom
- E above lowest polymorph: 116.4 meV/atom
- Formation enthalpy at 0 K: -6.6 kJ/mol of atoms

extended XYZ file:
```
3
Lattice="5.158 0.000 0.000 -2.579 4.467 0.000 0.000 0.000 4.179" Properties=species:S:1:pos:R:3 pbc="T T T"
Na 0.000 0.000 0.000
Sr 2.579 1.489 2.081
Ag 0.000 2.978 4.153
```

5.
The following is a PBE calculation of crystalline Na2SrAg2 at its relaxed geometry, from Alexandria.

Calculated values
- Calculated total energy: -2.13 eV/atom
- E above lowest polymorph: 0.0 meV/atom
- Formation enthalpy at 0 K: -12.4 kJ/mol of atoms

extended XYZ file:
```
10
Lattice="-2.202 2.392 14.088 2.202 -2.392 14.088 2.202 2.392 -14.088" Properties=species:S:1:pos:R:3 pbc="T T T"
Na 2.202 1.196 -5.573
Na 0.000 1.196 5.447
Na 2.202 1.196 8.641
Na 0.000 1.196 19.661
Sr 2.202 1.196 1.958
Sr 0.000 1.196 12.130
Ag 2.202 -1.196 10.638
Ag 2.202 -1.196 13.388
Ag 0.000 3.587 0.700
Ag 0.000 3.587 3.450
```

6.
The following is a PBE calculation of crystalline NaSr4Ag at its relaxed geometry, from Alexandria.

Calculated values
- Calculated total energy: -1.89 eV/atom
- E above lowest polymorph: 2.0 meV/atom
- Formation enthalpy at 0 K: -7.4 kJ/mol of atoms

extended XYZ file:
```
12
Lattice="6.756 0.000 0.000 0.000 8.162 0.000 -2.069 0.000 9.717" Properties=species:S:1:pos:R:3 pbc="T T T"
Na 0.596 2.040 4.193
Na 4.091 6.121 5.524
Sr 0.755 2.040 0.566
Sr 0.711 6.121 3.401
Sr 0.664 4.160 7.466
Sr 0.664 8.083 7.466
Sr 4.023 0.079 2.252
Sr 4.023 4.002 2.252
Sr 3.976 2.040 6.316
Sr 3.932 6.121 9.151
Ag 2.385 6.121 0.402
Ag 2.302 2.040 9.316
```

Question: Among the records above, which one has the highest calculated total energy?
Answer: Na5Sr6Ag